# 1
# CaSn2BTe

A geometry-optimized CaSn2BTe structure (GGA-PBE, Alexandria via LeMat-Bulk).

Computed properties:
* formation energy (no corrections): -15 meV/atom
* density: 5.43 g/cm³
* total moment: 0.0 μB per cell
* space group: No. 123
* D(E_F): 0.476 states/eV/atom

Unit cell a=4.733 b=5.680 c=4.733 alpha=90.00 beta=90.00 gamma=90.00
Sites, in units of the cell vectors:
B 0.000 0.000 0.000
Sn 0.500 0.000 0.000
Ca 0.000 0.500 0.000
Sn 0.000 0.000 0.500
Te 0.500 0.500 0.500

***

# 2
# VHg3Pt

A geometry-optimized VHg3Pt structure (GGA-PBE, Alexandria via LeMat-Bulk).

Computed properties:
* energy of formation from the pure elements: 1.114 eV per atom
* density: 10.10 g/cm³
* total moment: 3.1 μB per cell
* excess energy over the best structure of this formula in the dataset: 0.428 eV per atom
* space group: No. 221
* D(E_F): 1.563 states/eV/atom

Unit cell a=5.185 b=5.185 c=5.185 alpha=90.00 beta=90.00 gamma=90.00
Sites, in units of the cell vectors:
Hg 0.000 0.000 0.500
Pt 0.500 0.500 0.500
Hg 0.000 0.500 0.000
Hg 0.500 0.000 0.000
V 0.000 0.000 0.000

***

# 3
# SbIF2

A geometry-optimized SbIF2 structure (GGA-PBE, Alexandria via LeMat-Bulk).

Computed properties:
* formation energy (no corrections): -1064 meV/atom
* density: 5.07 g/cm³
* total moment: 0.0 μB per cell
* excess energy over the best structure of this formula in the dataset: 0.557 eV per atom
* space group: No. 166
* D(E_F): 0.401 states/eV/atom

Unit cell a=10.194 b=10.194 c=10.194 alpha=18.57 beta=18.57 gamma=18.57
Sites, in units of the cell vectors:
I 0.500 0.500 0.500
F 0.933 0.933 0.933
F 0.067 0.067 0.067
Sb 0.000 0.000 0.000

***

# 4
# PmCd4Rh

A geometry-optimized PmCd4Rh structure (GGA-PBE, Alexandria via LeMat-Bulk).

Computed properties:
* energy of formation from the pure elements: -0.168 eV per atom
* density: 9.03 g/cm³
* total moment: 0.0 μB per cell
* excess energy over the best structure of this formula in the dataset: 0.141 eV per atom
* space group: No. 216
* D(E_F): 0.028 states/eV/atom

Unit cell a=5.661 b=5.661 c=5.661 alpha=60.00 beta=60.00 gamma=60.00
Sites, in units of the cell vectors:
Cd 0.122 0.626 0.626
Cd 0.626 0.122 0.626
Cd 0.626 0.626 0.122
Rh 0.000 0.000 0.000
Pm 0.250 0.250 0.250
Cd 0.626 0.626 0.626

***

# 5
# InPt2Rh2

A geometry-optimized InPt2Rh2 structure (GGA-PBE, Alexandria via LeMat-Bulk).

Computed properties:
* energy of formation from the pure elements: 0.033 eV per atom
* density: 13.88 g/cm³
* total moment: 0.0 μB per cell
* excess energy over the best structure of this formula in the dataset: 0.064 eV per atom
* space group: No. 127
* D(E_F): 1.260 states/eV/atom

Unit cell a=6.938 b=6.938 c=3.534 alpha=90.00 beta=90.00 gamma=90.00
Sites, in units of the cell vectors:
Rh 0.867 0.633 0.000
Pt 0.842 0.342 0.500
Pt 0.342 0.158 0.500
In 0.000 0.000 0.000
Rh 0.633 0.133 0.000
Rh 0.133 0.367 0.000
Pt 0.158 0.658 0.500
Rh 0.367 0.867 0.000
Pt 0.658 0.842 0.500
In 0.500 0.500 0.000

***

# 6
# Zn2FeAs2

A geometry-optimized Zn2FeAs2 structure (GGA-PBE, Alexandria via LeMat-Bulk).

Computed properties:
* energy of formation from the pure elements: 0.548 eV per atom
* density: 6.13 g/cm³
* total moment: 2.8 μB per cell
* space group: No. 139
* D(E_F): 0.988 states/eV/atom

Unit cell a=3.677 b=3.677 c=7.230 alpha=75.27 beta=75.27 gamma=90.00
Sites, in units of the cell vectors:
As 0.250 0.750 0.500
As 0.750 0.250 0.500
Zn 0.411 0.411 0.177
Fe 0.000 0.000 0.000
Zn 0.589 0.589 0.823

***

# 7
# CaAs2Ir

A geometry-optimized CaAs2Ir structure (GGA-PBE, Alexandria via LeMat-Bulk).

Computed properties:
* energy of formation from the pure elements: -0.454 eV per atom
* density: 7.75 g/cm³
* total moment: 0.0 μB per cell
* space group: No. 12
* D(E_F): 0.508 states/eV/atom

Unit cell a=4.959 b=4.959 c=4.964 alpha=131.36 beta=109.60 gamma=90.15
Sites, in units of the cell vectors:
Ca 0.750 0.250 0.500
Ir 0.250 0.750 0.500
As 0.450 0.450 0.000
As 0.050 0.050 0.000

***

# 8
# Ho6GaS8

A geometry-optimized Ho6GaS8 structure (GGA-PBE, Alexandria via LeMat-Bulk).

Computed properties:
* formation energy (no corrections): -1824 meV/atom
* density: 6.60 g/cm³
* total moment: 0.0 μB per cell
* space group: No. 225
* D(E_F): 0.348 states/eV/atom

Unit cell a=7.764 b=7.764 c=7.764 alpha=60.00 beta=60.00 gamma=60.00
Sites, in units of the cell vectors:
S 0.749 0.251 0.749
S 0.749 0.251 0.251
S 0.251 0.251 0.749
S 0.251 0.749 0.749
Ga 0.000 0.000 0.000
S 0.750 0.750 0.750
Ho 0.500 0.000 0.000
Ho 0.500 0.500 0.000
Ho 0.000 0.000 0.500
S 0.749 0.749 0.251
Ho 0.000 0.500 0.000
Ho 0.000 0.500 0.500
S 0.250 0.250 0.250
S 0.251 0.749 0.251
Ho 0.500 0.000 0.500

***

> What is the formula in the second record?

VHg3Pt

***

> Which of these has the lowest D(E_F)?

PmCd4Rh

***

> The highest D(E_F) belongs to which entry?

VHg3Pt

***

> density of number 8 (Ho6GaS8)?

6.60 g/cm³